VASP calculation (GGA-PBE) on KBa15Sr4 after structural relaxation.

Computed properties:
* DFT total energy: -1.7997 eV per atom
* ΔE_f: 34 meV/atom

a = 6.3286 Å, b = 6.3286 Å, c = 31.4897 Å
α = 90.00°, β = 90.00°, γ = 90.00°
Space group P4/mmm (No. 123)
One atom of each set of equivalent atoms:
K1 0.0000 0.0000 0.0000 x1
Ba1 0.0000 0.5000 0.1050 x4
Ba2 0.0000 0.5000 0.3032 x4
Ba3 0.0000 0.5000 0.5000 x2
Ba4 0.5000 0.5000 0.0000 x1
Ba5 0.5000 0.5000 0.2040 x2
Ba6 0.5000 0.5000 0.4015 x2
Sr1 0.0000 0.0000 0.2047 x2
Sr2 0.0000 0.0000 0.4016 x2